# MgSbN3

An optimized crystal structure of MgSbN3 (PBE, Alexandria).

a b c (Å): 3.995 3.995 3.995
angles (deg): 90.00 90.00 90.00
Sites, in units of the cell vectors:
N 0.000 0.000 0.500
N 0.500 0.000 0.000
Sb 0.500 0.500 0.500
Mg 0.000 0.000 0.000
N 0.000 0.500 0.000

Computed properties:
formation energy (no corrections) = 1.528 eV per atom
crystal system = cubic
symmetry = Pm-3m
volume = 63.8 Å³ per cell
total DFT energy (no corrections) = -4.611 eV/atom

# Mg6Sb2N

An optimized crystal structure of Mg6Sb2N (PBE, Alexandria).

a b c (Å): 6.322 6.322 6.322
angles (deg): 60.00 60.00 60.00
Sites, in units of the cell vectors:
Mg 0.756 0.244 0.756
N 0.000 0.000 0.000
Mg 0.244 0.756 0.244
Mg 0.244 0.756 0.756
Mg 0.756 0.244 0.244
Sb 0.250 0.250 0.250
Sb 0.750 0.750 0.750
Mg 0.244 0.244 0.756
Mg 0.756 0.756 0.244

Computed properties:
formation energy (no corrections) = -0.378 eV per atom
crystal system = cubic
symmetry = Fm-3m
volume = 178.7 Å³ per cell
total DFT energy (no corrections) = -3.283 eV/atom

# Mg2ScSbN

An optimized crystal structure of Mg2ScSbN (PBE, Alexandria).

a b c (Å): 4.399 4.399 4.464
angles (deg): 90.00 90.00 90.00
Sites, in units of the cell vectors:
Sc 0.000 0.000 0.500
Mg 0.000 0.500 0.000
Sb 0.500 0.500 0.500
N 0.000 0.000 0.000
Mg 0.500 0.000 0.000

Computed properties:
formation energy (no corrections) = -0.772 eV per atom
crystal system = tetragonal
symmetry = P4/mmm
volume = 86.4 Å³ per cell
total DFT energy (no corrections) = -5.166 eV/atom

# Sm2Mg2Sb2N

An optimized crystal structure of Sm2Mg2Sb2N (PBE, Alexandria).

a b c (Å): 4.478 4.478 8.517
angles (deg): 105.24 105.24 90.00
Sites, in units of the cell vectors:
Sb 0.637 0.637 0.275
Mg 0.000 0.500 0.000
Mg 0.500 0.000 0.000
Sb 0.363 0.363 0.725
Sm 0.847 0.847 0.693
N 0.000 0.000 0.000
Sm 0.153 0.153 0.307

Computed properties:
formation energy (no corrections) = -0.963 eV per atom
crystal system = tetragonal
symmetry = I4/mmm
volume = 158.6 Å³ per cell
total DFT energy (no corrections) = -5.134 eV/atom

Repeat the fourth record exactly.
# Sm2Mg2Sb2N

An optimized crystal structure of Sm2Mg2Sb2N (PBE, Alexandria).

a b c (Å): 4.478 4.478 8.517
angles (deg): 105.24 105.24 90.00
Sites, in units of the cell vectors:
Sb 0.637 0.637 0.275
Mg 0.000 0.500 0.000
Mg 0.500 0.000 0.000
Sb 0.363 0.363 0.725
Sm 0.847 0.847 0.693
N 0.000 0.000 0.000
Sm 0.153 0.153 0.307

Computed properties:
formation energy (no corrections) = -0.963 eV per atom
crystal system = tetragonal
symmetry = I4/mmm
volume = 158.6 Å³ per cell
total DFT energy (no corrections) = -5.134 eV/atom